## Sb2PtAu2 (PBE-GGA)

Data for a geometry-optimized Sb2PtAu2 structure.

Cell lengths 7.307, 7.307, 3.995 Å; angles 90.00, 90.00, 90.00 degrees
Atoms (fractional coordinates):
1 Sb 0.172 0.672 0.500
2 Sb 0.672 0.828 0.500
3 Sb 0.828 0.328 0.500
4 Sb 0.328 0.172 0.500
5 Au 0.362 0.862 0.000
6 Au 0.862 0.638 0.000
7 Au 0.638 0.138 0.000
8 Au 0.138 0.362 0.000
9 Pt 0.000 0.000 0.000
10 Pt 0.500 0.500 0.000

Values from the calculation:
Calculated volume   213 Å³/cell
Symmetry   P4/mbm, No. 127
D(E_F)   2.2 states/eV/f.u.
Total moment   0.00 μB per formula unit
Formation energy without anion corrections   0.096 eV per atom
E above lowest polymorph   22 meV/atom


## HfTeSeN2 (PBE-GGA)

Data for a geometry-optimized HfTeSeN2 structure.

Cell lengths 4.046, 4.046, 5.228 Å; angles 90.00, 90.00, 90.00 degrees
Atoms (fractional coordinates):
1 Te 0.000 0.000 0.500
2 Hf 0.500 0.500 0.500
3 Se 0.000 0.000 0.000
4 N 0.000 0.500 0.000
5 N 0.500 0.000 0.000

Values from the calculation:
Calculated volume   86 Å³/cell
Symmetry   P4/mmm, No. 123
D(E_F)   2.1 states/eV/f.u.
Total moment   0.00 μB per formula unit
Formation energy without anion corrections   1.395 eV per atom
E above lowest polymorph   1053 meV/atom


## Pr3Sm2Ag2 (PBE-GGA)

Data for a geometry-optimized Pr3Sm2Ag2 structure.

Cell lengths 3.861, 6.847, 9.504 Å; angles 114.21, 90.00, 106.38 degrees
Atoms (fractional coordinates):
1 Pr 0.500 0.000 0.000
2 Pr 0.610 0.221 0.445
3 Pr 0.390 0.779 0.555
4 Sm 0.850 0.701 0.186
5 Sm 0.150 0.299 0.814
6 Ag 0.826 0.653 0.776
7 Ag 0.174 0.347 0.224

Values from the calculation:
Calculated volume   218 Å³/cell
Symmetry   C2/m, No. 12
D(E_F)   7.5 states/eV/f.u.
Total moment   0.00 μB per formula unit
Formation energy   -10.3 kJ/mol of atoms
E above lowest polymorph   0 meV/atom


## NbOs2S (PBE-GGA)

Data for a geometry-optimized NbOs2S structure.

Cell lengths 5.425, 5.425, 6.790 Å; angles 66.46, 66.46, 90.00 degrees
Atoms (fractional coordinates):
1 Nb 0.000 0.000 0.000
2 Nb 0.750 0.250 0.500
3 Os 0.576 0.125 0.250
4 Os 0.174 0.625 0.250
5 Os 0.375 0.424 0.750
6 Os 0.875 0.826 0.750
7 S 0.500 0.500 0.000
8 S 0.250 0.750 0.500

Values from the calculation:
Calculated volume   165 Å³/cell
Symmetry   I-42d, No. 122
D(E_F)   2.6 states/eV/f.u.
Total moment   0.00 μB per formula unit
Formation energy without anion corrections   0.613 eV per atom